1.
! Mg2NbIr GGA-PBE optimized geometry; values from VASP
&SYSTEM
  ibrav = 0, nat = 4, ntyp = 3
/
ATOMIC_SPECIES
Mg 24.30 Mg.upf
Ir 192.22 Ir.upf
Nb 92.91 Nb.upf
CELL_PARAMETERS angstrom
0.000 3.229 3.229
3.229 0.000 3.229
3.229 3.229 0.000
ATOMIC_POSITIONS crystal
Mg 0.750 0.750 0.750
Ir 0.500 0.500 0.500
Mg 0.250 0.250 0.250
Nb 0.000 0.000 0.000
! - SG: Fm-3m, No. 225
! - E: -5.349 eV per atom

---

2.
! Mg5NbIr6 GGA-PBE optimized geometry; values from VASP
&SYSTEM
  ibrav = 0, nat = 12, ntyp = 3
/
ATOMIC_SPECIES
Ir 192.22 Ir.upf
Nb 92.91 Nb.upf
Mg 24.30 Mg.upf
CELL_PARAMETERS angstrom
-4.386 -0.578 0.072
0.714 -5.729 -2.507
2.274 0.554 7.287
ATOMIC_POSITIONS crystal
Ir 0.164 0.412 0.328
Ir 0.836 0.084 0.672
Nb 0.000 0.000 0.000
Mg 0.000 0.500 0.000
Mg 0.670 0.170 0.339
Mg 0.668 0.668 0.335
Ir 0.500 0.753 0.000
Ir 0.164 0.916 0.328
Ir 0.500 0.247 0.000
Mg 0.330 0.830 0.661
Ir 0.836 0.588 0.672
Mg 0.332 0.332 0.665
! - SG: Immm, No. 71
! - E: -6.370 eV per atom

---

3.
! Mg2NbIr2 GGA-PBE optimized geometry; values from VASP
&SYSTEM
  ibrav = 0, nat = 5, ntyp = 3
/
ATOMIC_SPECIES
Mg 24.30 Mg.upf
Nb 92.91 Nb.upf
Ir 192.22 Ir.upf
CELL_PARAMETERS angstrom
2.998 0.000 0.000
0.000 2.969 0.562
0.000 -0.350 9.962
ATOMIC_POSITIONS crystal
Mg 0.000 0.824 0.353
Nb 0.000 0.000 0.000
Mg 0.000 0.176 0.647
Ir 0.500 0.589 0.822
Ir 0.500 0.411 0.178
! - SG: Cmmm, No. 65
! - E: -6.590 eV per atom

---

4.
! MgNbNiIr GGA-PBE optimized geometry; values from VASP
&SYSTEM
  ibrav = 0, nat = 4, ntyp = 4
/
ATOMIC_SPECIES
Nb 92.91 Nb.upf
Ir 192.22 Ir.upf
Ni 58.69 Ni.upf
Mg 24.30 Mg.upf
CELL_PARAMETERS angstrom
4.412 0.000 0.000
2.206 3.821 0.000
2.206 1.274 3.603
ATOMIC_POSITIONS crystal
Nb 0.750 0.750 0.750
Ir 0.000 0.000 0.000
Ni 0.500 0.500 0.500
Mg 0.250 0.250 0.250
! - SG: F-43m, No. 216
! - E: -6.925 eV per atom

---

5.
! MgNb2IrO GGA-PBE optimized geometry; values from VASP
&SYSTEM
  ibrav = 0, nat = 5, ntyp = 4
/
ATOMIC_SPECIES
Nb 92.91 Nb.upf
O 16.00 O.upf
Mg 24.30 Mg.upf
Ir 192.22 Ir.upf
CELL_PARAMETERS angstrom
5.112 0.000 0.000
0.000 3.745 0.000
0.000 0.000 5.112
ATOMIC_POSITIONS crystal
Nb 0.000 0.000 0.500
O 0.000 0.500 0.000
Mg 0.500 0.500 0.500
Nb 0.500 0.000 0.000
Ir 0.000 0.000 0.000
! - SG: P4/mmm, No. 123
! - E: -6.464 eV per atom
! - Formation energy from raw total energies: 0.6464 eV/atom

---

6.
! MgNbTeIr2 GGA-PBE optimized geometry; values from VASP
&SYSTEM
  ibrav = 0, nat = 5, ntyp = 4
/
ATOMIC_SPECIES
Ir 192.22 Ir.upf
Nb 92.91 Nb.upf
Mg 24.30 Mg.upf
Te 127.60 Te.upf
CELL_PARAMETERS angstrom
-2.180 4.311 0.324
-1.617 -0.441 -5.008
-4.061 -2.167 1.502
ATOMIC_POSITIONS crystal
Ir 0.000 0.000 0.500
Nb 0.000 0.000 0.000
Mg 0.500 0.500 0.500
Ir 0.500 0.000 0.000
Te 0.000 0.500 0.000
! - SG: P4/mmm, No. 123
! - E: -5.644 eV per atom
! - Formation energy from raw total energies: 0.8614 eV/atom